1.
This record from Alexandria describes a relaxed structure of ZnMoCl2. The functional is PBE.

Properties
As for the density of states at the Fermi level: 0.629 states/eV/atom. Its crystal system is cubic. Its space group is Fm-3m, No. 225. As for the distance to the lowest polymorph of the same formula: 828 meV/atom. For the uncorrected formation energy, the calculation gives 195 kJ/mol of formula units.

abc: 4.551 4.551 4.551
angles: 60.00 60.00 60.00
Sites, in units of the cell vectors:
Zn 0.000 0.000 0.000
Mo 0.500 0.500 0.500
Cl 0.250 0.250 0.250
Cl 0.750 0.750 0.750

2.
This record from Alexandria describes a relaxed structure of CaIn2BiPb. The functional is PBE.

Properties
As for the density of states at the Fermi level: 0.543 states/eV/atom. Its crystal system is orthorhombic. Its space group is Cmcm, No. 63. As for the distance to the lowest polymorph of the same formula: 0 meV/atom. As for the formation energy: -0.13 eV per atom.

abc: 8.858 8.858 6.167
angles: 90.00 90.00 137.91
Sites, in units of the cell vectors:
Ca 0.158 0.842 0.750
Ca 0.842 0.158 0.250
In 0.249 0.249 0.000
In 0.249 0.249 0.500
In 0.751 0.751 0.000
In 0.751 0.751 0.500
Bi 0.197 0.803 0.250
Bi 0.803 0.197 0.750
Pb 0.352 0.648 0.750
Pb 0.648 0.352 0.250

3.
This record from Alexandria describes a relaxed structure of Sm2RuPb. The functional is PBE.

Properties
As for the density of states at the Fermi level: 0.551 states/eV/atom. Its crystal system is orthorhombic. Its space group is Pmmm, No. 47. As for the distance to the lowest polymorph of the same formula: 0 meV/atom. As for the formation energy: -0.39 eV per atom.

abc: 3.469 3.484 8.485
angles: 90.00 90.00 90.00
Sites, in units of the cell vectors:
Sm 0.000 0.000 0.201
Sm 0.000 0.000 0.799
Ru 0.500 0.500 0.000
Pb 0.500 0.500 0.500

4.
This record from Alexandria describes a relaxed structure of KIn5. The functional is PBE.

Properties
As for the density of states at the Fermi level: 0.479 states/eV/atom. Its crystal system is monoclinic. Its space group is C2/m, No. 12. As for the distance to the lowest polymorph of the same formula: 0 meV/atom. As for the formation energy: -0.05 eV per atom.

abc: 5.406 5.406 7.926
angles: 90.18 90.18 54.53
Sites, in units of the cell vectors:
K 0.000 0.000 0.000
In 0.000 0.000 0.500
In 0.339 0.339 0.294
In 0.339 0.339 0.704
In 0.661 0.661 0.296
In 0.661 0.661 0.706

distance to the lowest polymorph of the same formula of number 1 (ZnMoCl2)? 828 meV/atom

What is the distance to the lowest polymorph of the same formula in the third record? 0 meV/atom

What is the distance to the lowest polymorph of the same formula in the fourth record? 0 meV/atom